Here is a geometry-optimized MoPt6Rh23 structure from Alexandria. Energies are from GGA-PBE.

Space group ... I4/mmm (139)
Formation enthalpy at 0 K ... 0.034 eV/atom
Density of states at the Fermi level ... 36.0 states/eV/f.u.

Geometry as POSCAR:
```
MoPt6Rh23
1.0
6.6693 0.0000 3.8505
1.3308 7.5499 5.3961
-0.8923 1.2620 9.2467
Pt Rh Mo
6 23 1
Direct
0.7480 0.7480 0.2520
0.2520 0.2520 0.7480
0.7480 0.2520 0.7480
0.7503 0.2497 0.2497
0.2497 0.7503 0.7503
0.2520 0.7480 0.2520
0.3728 0.3733 0.8811
0.8728 0.8738 0.3806
0.1272 0.1262 0.6194
0.0000 0.0000 0.0000
0.3733 0.3728 0.3728
0.3728 0.8811 0.3733
0.5000 0.5000 0.0000
0.8811 0.3728 0.3728
0.8728 0.3806 0.8738
0.0000 0.0000 0.5000
0.6194 0.1272 0.1272
0.6272 0.6267 0.1189
0.5000 0.0000 0.5000
0.8738 0.8728 0.8728
0.5000 0.0000 0.0000
0.1272 0.6194 0.1262
0.0000 0.5000 0.5000
0.6267 0.6272 0.6272
0.1189 0.6272 0.6272
0.6272 0.1189 0.6267
0.1262 0.1272 0.1272
0.3806 0.8728 0.8728
0.0000 0.5000 0.0000
0.5000 0.5000 0.5000
```